# 1
Density functional theory data (PBE) for a geometry-optimized TiMn2FeH structure.

Unit cell a=3.5779 b=3.5779 c=4.0510 alpha=90.00 beta=90.00 gamma=90.00
Closest atoms and distances in Å follow each position.
Element x y z (fractional)
H  0.0000  0.0000  0.0000  4 Mn 1.79
Mn  0.0000  0.5000  0.0000  2 H 1.79
Mn  0.5000  0.0000  0.0000  2 H 1.79
Fe  0.5000  0.5000  0.5000  4 Ti 2.53, 8 Mn 2.70
Ti  0.0000  0.0000  0.5000  2 H 2.03

For the energy relative to the lowest polymorph listed for this composition, the calculation gives 0.000 eV per atom. Its total energy is -7.67 eV/atom. Its size of the total moment is 4.66 μB per formula unit.

---

# 2
Density functional theory data (PBE) for a geometry-optimized TiMn2FeH structure.

Unit cell a=3.8798 b=3.8798 c=3.4290 alpha=90.00 beta=90.00 gamma=90.00
Closest atoms and distances in Å follow each position.
Element x y z (fractional)
H  0.0000  0.0000  0.0000  2 Fe 1.71
Mn  0.0000  0.5000  0.0000  2 H 1.94
Mn  0.5000  0.0000  0.0000  2 H 1.94
Fe  0.0000  0.0000  0.5000  2 H 1.71
Ti  0.5000  0.5000  0.5000  8 Mn 2.59, 4 Fe 2.74

For the energy relative to the lowest polymorph listed for this composition, the calculation gives 0.005 eV per atom. Its total energy is -7.67 eV/atom. Its size of the total moment is 4.73 μB per formula unit.

---

# 3
Density functional theory data (PBE) for a geometry-optimized Mn2TlFeH structure.

Unit cell a=3.7756 b=4.4730 c=3.7756 alpha=90.00 beta=90.00 gamma=90.00
Closest atoms and distances in Å follow each position.
Element x y z (fractional)
H  0.0000  0.0000  0.0000  4 Mn 1.89
Tl  0.0000  0.5000  0.0000  2 H 2.24
Mn  0.0000  0.0000  0.5000  2 H 1.89
Mn  0.5000  0.0000  0.0000  2 H 1.89
Fe  0.5000  0.5000  0.5000  4 Tl 2.67, 8 Mn 2.93

Its total energy is -6.01 eV/atom. Its size of the total moment is 8.10 μB per formula unit.

---

# 4
Density functional theory data (PBE) for a geometry-optimized Mn2VFeH structure.

Unit cell a=3.8317 b=3.8317 c=3.3522 alpha=90.00 beta=90.00 gamma=90.00
Closest atoms and distances in Å follow each position.
Element x y z (fractional)
H  0.0000  0.0000  0.0000  2 Fe 1.68
Mn  0.0000  0.5000  0.0000  2 H 1.92
Mn  0.5000  0.0000  0.0000  2 H 1.92
Fe  0.0000  0.0000  0.5000  2 H 1.68
V  0.5000  0.5000  0.5000  8 Mn 2.55, 4 Fe 2.71

For the energy relative to the lowest polymorph listed for this composition, the calculation gives 0.000 eV per atom. Its total energy is -7.89 eV/atom. Its size of the total moment is 4.03 μB per formula unit.

---

Copy entry 3 word for word.
Density functional theory data (PBE) for a geometry-optimized Mn2TlFeH structure.

Unit cell a=3.7756 b=4.4730 c=3.7756 alpha=90.00 beta=90.00 gamma=90.00
Closest atoms and distances in Å follow each position.
Element x y z (fractional)
H  0.0000  0.0000  0.0000  4 Mn 1.89
Tl  0.0000  0.5000  0.0000  2 H 2.24
Mn  0.0000  0.0000  0.5000  2 H 1.89
Mn  0.5000  0.0000  0.0000  2 H 1.89
Fe  0.5000  0.5000  0.5000  4 Tl 2.67, 8 Mn 2.93

Its total energy is -6.01 eV/atom. Its size of the total moment is 8.10 μB per formula unit.

---

Q: Among the records above, which one has the highest size of the total moment?
A: Mn2TlFeH

---

Q: Number 1 is which compound?
A: TiMn2FeH

---

Q: Number 3 is which compound?
A: Mn2TlFeH